# CuAg | the Open Quantum Materials Database | GGA-PBE | optimized geometry
data_CuAg
_symmetry_space_group_name_H-M 'P 1 m 1'
_symmetry_Int_Tables_number 6
_cell_length_a 4.8253
_cell_length_b 2.8038
_cell_length_c 11.2205
_cell_angle_alpha 90.00
_cell_angle_beta 97.77
_cell_angle_gamma 90.00
loop_
_symmetry_equiv_pos_as_xyz
'x,y,z'
'x,-y,z'
loop_
_atom_site_label
_atom_site_type_symbol
_atom_site_fract_x
_atom_site_fract_y
_atom_site_fract_z
_atom_site_occupancy
Cu1 Cu 0.0000 0.0000 0.0000 1
Cu2 Cu 0.0908 0.5000 0.8153 1
Cu3 Cu 0.3767 0.0000 0.1796 1
Cu4 Cu 0.4742 0.5000 0.0054 1
Cu5 Cu 0.8789 0.5000 0.1748 1
Ag1 Ag 0.1845 0.0000 0.6053 1
Ag2 Ag 0.2775 0.5000 0.3785 1
Ag3 Ag 0.5916 0.0000 0.8151 1
Ag4 Ag 0.6860 0.5000 0.5986 1
Ag5 Ag 0.7783 0.0000 0.3757 1
# Formation energy from the elements: 0.09 eV/atom
# Total energy: -31.8 eV/cell